Version i
K2Hg2O3 GGA-PBE relaxed; SG = I2_13, No. 199; theoretical density = 7810 kg/m³; crystal system = cubic
1.0
-0.9827 -4.8205 4.4431
-5.3669 3.8815 -0.2725
1.0934 -2.6807 -5.9634
O Hg K
6 4 4
Direct
0.3960 0.2500 0.6460 O
0.8540 0.1040 0.7500 O
0.2500 0.6460 0.3960 O
0.7500 0.8540 0.1040 O
0.6460 0.3960 0.2500 O
0.1040 0.7500 0.8540 O
0.8646 0.5000 0.0000 Hg
0.5000 0.0000 0.8646 Hg
0.6354 0.6354 0.6354 Hg
0.0000 0.8646 0.5000 Hg
0.0000 0.3534 0.5000 K
0.5000 0.0000 0.3534 K
0.1466 0.1466 0.1466 K
0.3534 0.5000 0.0000 K

Version ii
K2Hg2O3 GGA-PBE relaxed; SG = R-3m, No. 166; theoretical density = 5706 kg/m³; crystal system = trigonal
1.0
-0.7942 -3.5699 4.4284
-0.2210 2.6928 5.0681
-5.3003 0.2607 2.1965
K Hg O
2 2 3
Direct
0.5000 0.5000 0.5000 K
0.0000 0.0000 0.0000 K
0.2504 0.2504 0.2504 Hg
0.7496 0.7496 0.7496 Hg
0.5000 0.0000 0.0000 O
0.0000 0.5000 0.0000 O
0.0000 0.0000 0.5000 O

The least stable of them is version ii.